# PBE with a Hubbard U MnCdI2O8, relaxed
# E_tot	-0.345	Ry/atom
# space-group type	I-4m2, No. 119
data_MnCdI2O8
_cell_length_a 6.175
_cell_length_b 6.175
_cell_length_c 6.175
_cell_angle_alpha 107.63
_cell_angle_beta 107.63
_cell_angle_gamma 113.22
_space_group_name_H-M_alt 'P 1'
_space_group_IT_number 1
loop_
_space_group_symop_operation_xyz
'x,y,z'
loop_
_atom_site_label
_atom_site_fract_x
_atom_site_fract_y
_atom_site_fract_z
O1 0.370 0.065 0.305
O2 0.306 0.121 0.814
O3 0.935 0.630 0.695
I1 0.500 0.500 0.000
O4 0.306 0.492 0.186
O5 0.508 0.694 0.814
O6 0.935 0.240 0.305
Mn1 0.000 0.000 0.000
O7 0.879 0.694 0.186
I2 0.750 0.250 0.500
O8 0.760 0.065 0.695
Cd1 0.250 0.750 0.500